Here is TaBeSb2 after structural relaxation from Alexandria. Energies are from PBE.

Unit cell a=5.3258 b=5.3258 c=5.3258 alpha=141.44 beta=124.78 gamma=69.36
Positions (direct):
Be 0.2472 0.7472 0.5000
Ta 0.4632 0.4632 0.0000
Sb 0.7512 0.2512 0.5000
Sb 0.0384 0.0384 0.0000

- Fermi-level density of states (states/eV per cell) = 2.12
- VASP energy (eV per atom) = -5.535
- uncorrected formation energy (meV/atom) = 421